1.
This record from OQMD via LeMat-Bulk describes a relaxed Ac3Sn4Pd4 crystal. The functional is PBE.

```
11
Lattice="-2.2747 2.3868 13.3588 2.2747 -2.3868 13.3588 2.2747 2.3868 -13.3588" Properties=species:S:1:pos:R:3 pbc="T T T"
Pd 0.0000 0.0000 15.9860
Sn 2.2747 0.0000 1.4307
Ac 0.0000 0.0000 4.0615
Pd 0.0000 0.0000 10.7316
Pd 0.0000 2.3868 6.7259
Sn 0.0000 2.3868 11.9281
Pd 2.2747 0.0000 6.6330
Ac 0.0000 0.0000 22.6562
Sn 0.0000 0.0000 8.0485
Ac 0.0000 2.3868 0.0000
Sn 0.0000 0.0000 18.6691
```

## Properties
ρ (kg/m³): 9052
Total DFT energy (no corrections) (eV per atom): -5.29

2.
This record from OQMD via LeMat-Bulk describes a relaxed SrAcPd2 crystal. The functional is PBE.

```
4
Lattice="-3.1432 1.4488 -2.3179 -0.7755 -4.2671 -1.6154 -2.0920 -1.7032 5.5033" Properties=species:S:1:pos:R:3 pbc="T T T"
Pd -1.1396 -0.9201 2.9775
Pd -2.6844 -3.3640 3.5450
Sr -4.3217 -0.6275 3.7323
Ac -2.7087 -2.2268 0.5529
```

## Properties
ρ (kg/m³): 7879
Total DFT energy (no corrections) (eV per atom): -4.77

3.
This record from OQMD via LeMat-Bulk describes a relaxed AcTaPd crystal. The functional is PBE.

```
3
Lattice="0.0000 3.4508 3.4508 3.4508 0.0000 3.4508 3.4508 3.4508 0.0000" Properties=species:S:1:pos:R:3 pbc="T T T"
Pd 0.0000 0.0000 0.0000
Ac 1.7254 1.7254 1.7254
Ta 5.1762 5.1762 5.1762
```

## Properties
ρ (kg/m³): 10393
Total DFT energy (no corrections) (eV per atom): -6.47
ΔE to the lowest computed polymorph (meV per atom): 0